Here is Nd2GaAg3 after structural relaxation from the Alexandria database. Energies are from PBE. Values from VASP.

```
&SYSTEM
  ibrav = 0, nat = 6, ntyp = 3
/
ATOMIC_SPECIES
Nd 144.24 Nd.upf
Ga 69.72 Ga.upf
Ag 107.87 Ag.upf
CELL_PARAMETERS angstrom
-1.903 2.241 8.659
1.903 -2.241 8.659
1.903 2.241 -8.659
ATOMIC_POSITIONS crystal
Nd 0.000 0.000 0.000
Nd 0.737 0.237 0.500
Ga 0.581 0.581 0.000
Ag 0.155 0.655 0.500
Ag 0.315 0.815 0.500
Ag 0.427 0.427 0.000
```

* relative energy among the computed polymorphs: 69.9 meV per atom
* DFT formation energy: -0.278 eV per atom
* total magnetic moment: 0.000 μB/atom